No. 1
# BeInSb2, single point on PBEsol structure, DFT SCAN
data_BeInSb2
_cell_length_a 9.992
_cell_length_b 3.724
_cell_length_c 5.553
_cell_angle_alpha 90.00
_cell_angle_beta 115.00
_cell_angle_gamma 90.00
_symmetry_space_group_name_H-M 'C 1 m 1'
_symmetry_Int_Tables_number 8
loop_
_symmetry_equiv_pos_as_xyz
'x,y,z'
'x,-y,z'
'x+1/2,y+1/2,z'
'x+1/2,-y+1/2,z'
loop_
_atom_site_label
_atom_site_fract_x
_atom_site_fract_y
_atom_site_fract_z
Be1 0.000 0.000 0.000
In1 0.269 0.000 0.004
Sb1 0.121 0.500 0.333
Sb2 0.443 0.000 0.665
# **E above lowest polymorph**: 0.0 meV/atom
# **Raw formation energy**: 0.30 eV per atom

No. 2
# Sm3In, single point on PBEsol structure, DFT SCAN
data_Sm3In
_cell_length_a 6.9385
_cell_length_b 6.9385
_cell_length_c 5.4382
_cell_angle_alpha 90.00
_cell_angle_beta 90.00
_cell_angle_gamma 120.00
_symmetry_space_group_name_H-M 'P 63/m m c'
_symmetry_Int_Tables_number 194
_symmetry_space_group_name_Hall '-P 6c 2c'
loop_
_atom_site_label
_atom_site_fract_x
_atom_site_fract_y
_atom_site_fract_z
Sm1 0.1749 0.3497 0.2500
In1 0.3333 0.6667 0.7500
# **E above lowest polymorph**: 20.5 meV/atom

No. 3
# KBa3, single point on PBEsol structure, DFT SCAN
data_KBa3
_cell_length_a 14.757
_cell_length_b 4.362
_cell_length_c 7.767
_cell_angle_alpha 90.00
_cell_angle_beta 98.87
_cell_angle_gamma 90.00
_symmetry_space_group_name_H-M 'C 1 2/m 1'
_symmetry_Int_Tables_number 12
loop_
_symmetry_equiv_pos_as_xyz
'x,y,z'
'-x,-y,-z'
'-x,y,-z'
'x,-y,z'
'x+1/2,y+1/2,z'
'-x+1/2,-y+1/2,-z'
'-x+1/2,y+1/2,-z'
'x+1/2,-y+1/2,z'
loop_
_atom_site_label
_atom_site_fract_x
_atom_site_fract_y
_atom_site_fract_z
K1 0.000 0.000 0.000
Ba1 0.000 0.500 0.500
Ba2 0.249 0.500 0.255
# **E above lowest polymorph**: 37.4 meV/atom

No. 4
# Pr4Sb3, single point on PBEsol structure, DFT SCAN
data_Pr4Sb3
_cell_length_a 9.445
_cell_length_b 9.445
_cell_length_c 9.445
_cell_angle_alpha 90.00
_cell_angle_beta 90.00
_cell_angle_gamma 90.00
_symmetry_space_group_name_H-M 'I -4 3 d'
_symmetry_Int_Tables_number 220
_symmetry_space_group_name_Hall 'I -4bd 2c 3'
loop_
_atom_site_label
_atom_site_fract_x
_atom_site_fract_y
_atom_site_fract_z
Pr1 0.071 0.429 0.571
Sb1 0.000 0.250 0.875
# **Raw formation energy**: -1.18 eV per atom

No. 5
# La3YTi, single point on PBEsol structure, DFT SCAN
data_La3YTi
_cell_length_a 5.678
_cell_length_b 5.678
_cell_length_c 5.678
_cell_angle_alpha 90.00
_cell_angle_beta 90.00
_cell_angle_gamma 90.00
_symmetry_space_group_name_H-M 'P m -3 m'
_symmetry_Int_Tables_number 221
_symmetry_space_group_name_Hall '-P 4 2 3'
loop_
_atom_site_label
_atom_site_fract_x
_atom_site_fract_y
_atom_site_fract_z
La1 0.000 0.000 0.500
Y1 0.000 0.000 0.000
Ti1 0.500 0.500 0.500
# **Total DFT energy (no corrections)**: -33.639 eV per atom

No. 6
# Be4SiTc, single point on PBEsol structure, DFT SCAN
data_Be4SiTc
_cell_length_a 6.034
_cell_length_b 6.034
_cell_length_c 6.034
_cell_angle_alpha 90.00
_cell_angle_beta 90.00
_cell_angle_gamma 90.00
_symmetry_space_group_name_H-M 'F -4 3 m'
_symmetry_Int_Tables_number 216
_symmetry_space_group_name_Hall 'F -4 2 3'
loop_
_atom_site_label
_atom_site_fract_x
_atom_site_fract_y
_atom_site_fract_z
Be1 0.123 0.123 0.377
Si1 0.000 0.000 0.000
Tc1 0.250 0.250 0.750
# **Raw formation energy**: -0.26 eV per atom

No. 7
# TlCd2Cl, single point on PBEsol structure, DFT SCAN
data_TlCd2Cl
_cell_length_a 7.379
_cell_length_b 7.379
_cell_length_c 7.379
_cell_angle_alpha 90.00
_cell_angle_beta 90.00
_cell_angle_gamma 90.00
_symmetry_space_group_name_H-M 'F m -3 m'
_symmetry_Int_Tables_number 225
_symmetry_space_group_name_Hall '-F 4 2 3'
loop_
_atom_site_label
_atom_site_fract_x
_atom_site_fract_y
_atom_site_fract_z
Tl1 0.000 0.000 0.000
Cd1 0.250 0.250 0.250
Cl1 0.000 0.000 0.500
# **E above lowest polymorph**: 105.3 meV/atom
# **Raw formation energy**: -0.14 eV per atom

No. 8
# MgCd2Cu, single point on PBEsol structure, DFT SCAN
data_MgCd2Cu
_cell_length_a 9.913
_cell_length_b 3.386
_cell_length_c 4.585
_cell_angle_alpha 90.00
_cell_angle_beta 113.68
_cell_angle_gamma 90.00
_symmetry_space_group_name_H-M 'C 1 m 1'
_symmetry_Int_Tables_number 8
loop_
_symmetry_equiv_pos_as_xyz
'x,y,z'
'x,-y,z'
'x+1/2,y+1/2,z'
'x+1/2,-y+1/2,z'
loop_
_atom_site_label
_atom_site_fract_x
_atom_site_fract_y
_atom_site_fract_z
Mg1 0.000 0.000 0.000
Cd1 0.228 0.000 0.725
Cd2 0.462 0.000 0.460
Cu1 0.233 0.500 0.227
# **Total DFT energy (no corrections)**: -20.270 eV per atom

No. 9
# Al2MoCl, single point on PBEsol structure, DFT SCAN
data_Al2MoCl
_cell_length_a 4.848
_cell_length_b 4.848
_cell_length_c 2.798
_cell_angle_alpha 90.00
_cell_angle_beta 90.00
_cell_angle_gamma 90.00
_symmetry_space_group_name_H-M 'P 4/m m m'
_symmetry_Int_Tables_number 123
_symmetry_space_group_name_Hall '-P 4 2'
loop_
_atom_site_label
_atom_site_fract_x
_atom_site_fract_y
_atom_site_fract_z
Al1 0.000 0.500 0.000
Mo1 0.000 0.000 0.500
Cl1 0.500 0.500 0.500
# **E above lowest polymorph**: 0.0 meV/atom
# **Raw formation energy**: 0.07 eV per atom

No. 10
# Cr2SiBr, single point on PBEsol structure, DFT SCAN
data_Cr2SiBr
_cell_length_a 6.303
_cell_length_b 6.303
_cell_length_c 6.303
_cell_angle_alpha 90.00
_cell_angle_beta 90.00
_cell_angle_gamma 90.00
_symmetry_space_group_name_H-M 'F -4 3 m'
_symmetry_Int_Tables_number 216
_symmetry_space_group_name_Hall 'F -4 2 3'
loop_
_atom_site_label
_atom_site_fract_x
_atom_site_fract_y
_atom_site_fract_z
Cr1 0.000 0.000 0.000
Cr2 0.250 0.250 0.250
Si1 0.000 0.000 0.500
Br1 0.250 0.250 0.750
# **E above lowest polymorph**: 830.0 meV/atom
# **Raw formation energy**: 0.75 eV per atom

No. 11
# HgSeBr, single point on PBEsol structure, DFT SCAN
data_HgSeBr
_cell_length_a 6.809
_cell_length_b 6.809
_cell_length_c 6.809
_cell_angle_alpha 90.00
_cell_angle_beta 90.00
_cell_angle_gamma 90.00
_symmetry_space_group_name_H-M 'F -4 3 m'
_symmetry_Int_Tables_number 216
_symmetry_space_group_name_Hall 'F -4 2 3'
loop_
_atom_site_label
_atom_site_fract_x
_atom_site_fract_y
_atom_site_fract_z
Hg1 0.000 0.000 0.000
Se1 0.250 0.250 0.750
Br1 0.250 0.250 0.250
# **E above lowest polymorph**: 302.6 meV/atom
# **Raw formation energy**: 0.33 eV per atom

No. 12
# LiVO2F2, single point on PBEsol structure, DFT SCAN
data_LiVO2F2
_cell_length_a 6.136
_cell_length_b 3.478
_cell_length_c 6.585
_cell_angle_alpha 90.00
_cell_angle_beta 111.24
_cell_angle_gamma 90.00
_symmetry_space_group_name_H-M 'P 1 21 1'
_symmetry_Int_Tables_number 4
loop_
_symmetry_equiv_pos_as_xyz
'x,y,z'
'-x,y+1/2,-z'
loop_
_atom_site_label
_atom_site_fract_x
_atom_site_fract_y
_atom_site_fract_z
Li1 0.161 0.000 0.201
V1 0.351 0.995 0.769
O1 0.196 0.996 0.516
O2 0.403 0.503 0.850
F1 0.109 0.009 0.886
F2 0.353 0.507 0.252
# **E above lowest polymorph**: 0.0 meV/atom
# **Raw formation energy**: -2.81 eV per atom

No. 13
# Ba2SrSb2, single point on PBEsol structure, DFT SCAN
data_Ba2SrSb2
_cell_length_a 9.198
_cell_length_b 9.198
_cell_length_c 4.588
_cell_angle_alpha 90.00
_cell_angle_beta 90.00
_cell_angle_gamma 90.00
_symmetry_space_group_name_H-M 'P 4/m b m'
_symmetry_Int_Tables_number 127
_symmetry_space_group_name_Hall '-P 4 2ab'
loop_
_atom_site_label
_atom_site_fract_x
_atom_site_fract_y
_atom_site_fract_z
Ba1 0.133 0.367 0.000
Sr1 0.000 0.000 0.500
Sb1 0.171 0.671 0.500
# **Raw formation energy**: -1.06 eV per atom

No. 14
# Y3MnN, single point on PBEsol structure, DFT SCAN
data_Y3MnN
_cell_length_a 4.728
_cell_length_b 4.728
_cell_length_c 4.728
_cell_angle_alpha 90.00
_cell_angle_beta 90.00
_cell_angle_gamma 90.00
_symmetry_space_group_name_H-M 'P m -3 m'
_symmetry_Int_Tables_number 221
_symmetry_space_group_name_Hall '-P 4 2 3'
loop_
_atom_site_label
_atom_site_fract_x
_atom_site_fract_y
_atom_site_fract_z
Y1 0.000 0.000 0.500
Mn1 0.500 0.500 0.500
N1 0.000 0.000 0.000
# **Raw formation energy**: -0.81 eV per atom

No. 15
# KMgAl2Ge, single point on PBEsol structure, DFT SCAN
data_KMgAl2Ge
_cell_length_a 5.280
_cell_length_b 5.280
_cell_length_c 5.065
_cell_angle_alpha 90.00
_cell_angle_beta 90.00
_cell_angle_gamma 90.00
_symmetry_space_group_name_H-M 'P 4/m m m'
_symmetry_Int_Tables_number 123
_symmetry_space_group_name_Hall '-P 4 2'
loop_
_atom_site_label
_atom_site_fract_x
_atom_site_fract_y
_atom_site_fract_z
K1 0.000 0.000 0.000
Mg1 0.500 0.500 0.500
Al1 0.000 0.500 0.500
Ge1 0.500 0.500 0.000
# **Total DFT energy (no corrections)**: -9.011 eV per atom

No. 16
# TiWO3, single point on PBEsol structure, DFT SCAN
data_TiWO3
_cell_length_a 3.893
_cell_length_b 3.893
_cell_length_c 3.893
_cell_angle_alpha 90.00
_cell_angle_beta 90.00
_cell_angle_gamma 90.00
_symmetry_space_group_name_H-M 'P m -3 m'
_symmetry_Int_Tables_number 221
_symmetry_space_group_name_Hall '-P 4 2 3'
loop_
_atom_site_label
_atom_site_fract_x
_atom_site_fract_y
_atom_site_fract_z
Ti1 0.000 0.000 0.000
W1 0.500 0.500 0.500
O1 0.000 0.500 0.500
# **Raw formation energy**: -1.61 eV per atom

No. 17
# HfBe3Cl, single point on PBEsol structure, DFT SCAN
data_HfBe3Cl
_cell_length_a 4.983
_cell_length_b 4.983
_cell_length_c 4.983
_cell_angle_alpha 90.00
_cell_angle_beta 90.00
_cell_angle_gamma 90.00
_symmetry_space_group_name_H-M 'P m -3 m'
_symmetry_Int_Tables_number 221
_symmetry_space_group_name_Hall '-P 4 2 3'
loop_
_atom_site_label
_atom_site_fract_x
_atom_site_fract_y
_atom_site_fract_z
Hf1 0.000 0.000 0.000
Be1 0.000 0.000 0.500
Cl1 0.500 0.500 0.500
# **Raw formation energy**: 1.75 eV per atom

No. 18
# TlIr2PtO, single point on PBEsol structure, DFT SCAN
data_TlIr2PtO
_cell_length_a 4.733
_cell_length_b 4.733
_cell_length_c 5.225
_cell_angle_alpha 90.00
_cell_angle_beta 90.00
_cell_angle_gamma 90.00
_symmetry_space_group_name_H-M 'P 4/m m m'
_symmetry_Int_Tables_number 123
_symmetry_space_group_name_Hall '-P 4 2'
loop_
_atom_site_label
_atom_site_fract_x
_atom_site_fract_y
_atom_site_fract_z
Tl1 0.000 0.000 0.000
Ir1 0.000 0.500 0.500
Pt1 0.000 0.000 0.500
O1 0.500 0.500 0.000
# **Raw formation energy**: 1.90 eV per atom

No. 19
# Ce2Te4O11, single point on PBEsol structure, DFT SCAN
data_Ce2Te4O11
_cell_length_a 12.513
_cell_length_b 5.187
_cell_length_c 16.113
_cell_angle_alpha 90.00
_cell_angle_beta 106.82
_cell_angle_gamma 90.00
_symmetry_space_group_name_H-M 'C 1 2/c 1'
_symmetry_Int_Tables_number 15
loop_
_symmetry_equiv_pos_as_xyz
'x,y,z'
'-x,-y,-z'
'-x,y,-z+1/2'
'x,-y,z+1/2'
'x+1/2,y+1/2,z'
'-x+1/2,-y+1/2,-z'
'-x+1/2,y+1/2,-z+1/2'
'x+1/2,-y+1/2,z+1/2'
loop_
_atom_site_label
_atom_site_fract_x
_atom_site_fract_y
_atom_site_fract_z
Ce1 0.119 0.243 0.037
Te1 0.122 0.219 0.367
Te2 0.126 0.229 0.707
O1 0.000 0.371 0.750
O2 0.025 0.087 0.603
O3 0.072 0.378 0.456
O4 0.148 0.435 0.172
O5 0.205 0.045 0.940
O6 0.250 0.071 0.632
# **Raw formation energy**: -1.96 eV per atom

No. 20
# TiCoAs2Se, single point on PBEsol structure, DFT SCAN
data_TiCoAs2Se
_cell_length_a 4.789
_cell_length_b 4.789
_cell_length_c 4.756
_cell_angle_alpha 90.00
_cell_angle_beta 90.00
_cell_angle_gamma 90.00
_symmetry_space_group_name_H-M 'P 4/m m m'
_symmetry_Int_Tables_number 123
_symmetry_space_group_name_Hall '-P 4 2'
loop_
_atom_site_label
_atom_site_fract_x
_atom_site_fract_y
_atom_site_fract_z
Ti1 0.000 0.000 0.000
Co1 0.500 0.500 0.500
As1 0.000 0.500 0.000
Se1 0.000 0.000 0.500
# **Raw formation energy**: 0.51 eV per atom

No. 21
# AgPtPb3, single point on PBEsol structure, DFT SCAN
data_AgPtPb3
_cell_length_a 5.295
_cell_length_b 5.295
_cell_length_c 5.295
_cell_angle_alpha 90.00
_cell_angle_beta 90.00
_cell_angle_gamma 90.00
_symmetry_space_group_name_H-M 'P m -3 m'
_symmetry_Int_Tables_number 221
_symmetry_space_group_name_Hall '-P 4 2 3'
loop_
_atom_site_label
_atom_site_fract_x
_atom_site_fract_y
_atom_site_fract_z
Ag1 0.000 0.000 0.000
Pt1 0.500 0.500 0.500
Pb1 0.000 0.500 0.500
# **Total DFT energy (no corrections)**: -65.430 eV per atom

No. 22
# Zr2ScGa2, single point on PBEsol structure, DFT SCAN
data_Zr2ScGa2
_cell_length_a 7.180
_cell_length_b 7.180
_cell_length_c 3.759
_cell_angle_alpha 90.00
_cell_angle_beta 90.00
_cell_angle_gamma 90.00
_symmetry_space_group_name_H-M 'P 4/m b m'
_symmetry_Int_Tables_number 127
_symmetry_space_group_name_Hall '-P 4 2ab'
loop_
_atom_site_label
_atom_site_fract_x
_atom_site_fract_y
_atom_site_fract_z
Zr1 0.174 0.326 0.000
Sc1 0.000 0.000 0.500
Ga1 0.124 0.624 0.500
# **Total DFT energy (no corrections)**: -22.321 eV per atom

No. 23
# Tb5Si3C, single point on PBEsol structure, DFT SCAN
data_Tb5Si3C
_cell_length_a 8.4255
_cell_length_b 8.4255
_cell_length_c 6.3277
_cell_angle_alpha 90.00
_cell_angle_beta 90.00
_cell_angle_gamma 120.00
_symmetry_space_group_name_H-M 'P 63/m c m'
_symmetry_Int_Tables_number 193
_symmetry_space_group_name_Hall '-P 6c 2'
loop_
_atom_site_label
_atom_site_fract_x
_atom_site_fract_y
_atom_site_fract_z
Tb1 0.0000 0.2240 0.2500
Tb2 0.3333 0.6667 0.0000
Si1 0.0000 0.4085 0.7500
C1 0.0000 0.0000 0.0000
# **Raw formation energy**: -0.66 eV per atom

No. 24
# SrBeIn, single point on PBEsol structure, DFT SCAN
data_SrBeIn
_cell_length_a 4.5781
_cell_length_b 4.5781
_cell_length_c 4.0523
_cell_angle_alpha 90.00
_cell_angle_beta 90.00
_cell_angle_gamma 120.00
_symmetry_space_group_name_H-M 'P -6 m 2'
_symmetry_Int_Tables_number 187
_symmetry_space_group_name_Hall 'P -6 2'
loop_
_atom_site_label
_atom_site_fract_x
_atom_site_fract_y
_atom_site_fract_z
Sr1 0.0000 0.0000 0.0000
Be1 0.3333 0.6667 0.5000
In1 0.6667 0.3333 0.5000
# **Total DFT energy (no corrections)**: -20.116 eV per atom

No. 25
# CeAl4, single point on PBEsol structure, DFT SCAN
data_CeAl4
_cell_length_a 4.184
_cell_length_b 4.184
_cell_length_c 11.317
_cell_angle_alpha 90.00
_cell_angle_beta 90.00
_cell_angle_gamma 90.00
_symmetry_space_group_name_H-M 'I 4/m m m'
_symmetry_Int_Tables_number 139
_symmetry_space_group_name_Hall '-I 4 2'
loop_
_atom_site_label
_atom_site_fract_x
_atom_site_fract_y
_atom_site_fract_z
Ce1 0.000 0.000 0.000
Al1 0.000 0.000 0.390
Al2 0.000 0.500 0.250
# **Total DFT energy (no corrections)**: -15.431 eV per atom

Summary of total magnetization in μB per atom
0.000, 0.000, 0.046, 0.000, 0.726, 0.000, 0.000, 0.000, 0.248, 0.125, 0.000, 0.000, 0.000, 0.906, 0.000, 0.428, 0.000, 0.829, 0.117, 0.491, 0.000, 0.000, 0.000, 0.000, 0.194
(order as listed above)